Ce3ScOs8: optimized geometry, PBE-GGA.

Results
DFT total energy ... -9.744 eV per atom
Formation energy from the elements ... -246 meV per atom
Symmetry ... R3m
D(E_F) ... 0.6337 states/eV/atom

abc: 9.292 9.292 9.292
angles: 33.49 33.49 33.49
Sites, in units of the cell vectors:
Ce: 0.000 0.000 0.000
Ce: 0.126 0.126 0.126
Ce: 0.626 0.626 0.626
Sc: 0.501 0.501 0.501
Os: 0.063 0.063 0.558
Os: 0.063 0.558 0.063
Os: 0.068 0.564 0.564
Os: 0.313 0.313 0.313
Os: 0.558 0.063 0.063
Os: 0.564 0.068 0.564
Os: 0.564 0.564 0.068
Os: 0.814 0.814 0.814